BaCa2ZnIr | PBE | relaxed

Unit cell a=5.528 b=5.528 c=5.148 alpha=90.00 beta=90.00 gamma=90.00
Positions (direct):
Ca: 0.500 0.000 0.000
Ca: 0.000 0.500 0.000
Zn: 0.000 0.000 0.500
Ba: 0.500 0.500 0.500
Ir: 0.000 0.000 0.000

Summary:
- E_tot: -16.781 eV per cell
- Theoretical density: 5.01 g/cm3
- Energy of formation from the pure elements: -0.14 eV/atom
- N(E_F): 3.2 states/eV/cell
- M_tot: 0.0 μB per formula unit

***

Ba2CaZnIr | PBE | relaxed

Unit cell a=6.097 b=6.097 c=5.506 alpha=90.00 beta=90.00 gamma=90.00
Positions (direct):
Ba: 0.000 0.500 0.000
Ba: 0.500 0.000 0.000
Ca: 0.000 0.000 0.500
Ir: 0.000 0.000 0.000
Zn: 0.500 0.500 0.500

Summary:
- E_tot: -16.198 eV per cell
- Theoretical density: 4.64 g/cm3
- Energy of formation from the pure elements: -0.04 eV/atom
- N(E_F): 3.1 states/eV/cell
- M_tot: 0.0 μB per formula unit

***

KBa2Ca | PBE | relaxed

Unit cell a=7.745 b=7.745 c=7.745 alpha=133.90 beta=133.90 gamma=67.24
Positions (direct):
K: 0.750 0.250 0.500
Ba: 0.250 0.750 0.500
Ba: 0.000 0.000 0.000
Ca: 0.500 0.500 0.000

Summary:
- E_tot: -6.441 eV per cell
- Theoretical density: 2.48 g/cm3
- Energy of formation from the pure elements: 0.13 eV/atom
- Offset from the most stable computed form: 0.22 eV/f.u.
- N(E_F): 4.6 states/eV/cell
- M_tot: 0.0 μB per formula unit

***

KBa2Ca | PBE | relaxed

Unit cell a=4.203 b=4.203 c=14.081 alpha=90.00 beta=90.00 gamma=108.63
Positions (direct):
Ca: 0.500 0.500 0.250
K: 0.500 0.500 0.750
Ba: 0.000 0.000 0.021
Ba: 0.000 0.000 0.479

Summary:
- E_tot: -6.641 eV per cell
- Theoretical density: 2.49 g/cm3
- Energy of formation from the pure elements: 0.08 eV/atom
- Offset from the most stable computed form: 0.02 eV/f.u.
- N(E_F): 6.0 states/eV/cell
- M_tot: 0.0 μB per formula unit

***

KBa2Ca | PBE | relaxed

Unit cell a=14.650 b=14.650 c=14.650 alpha=17.08 beta=17.08 gamma=17.08
Positions (direct):
Ba: 0.993 0.993 0.993
Ba: 0.507 0.507 0.507
Ca: 0.250 0.250 0.250
K: 0.750 0.750 0.750

Summary:
- E_tot: -6.654 eV per cell
- Theoretical density: 2.48 g/cm3
- Energy of formation from the pure elements: 0.07 eV/atom
- Offset from the most stable computed form: 0.01 eV/f.u.
- N(E_F): 6.3 states/eV/cell
- M_tot: 0.0 μB per formula unit

***

KBa2Ca | PBE | relaxed

Unit cell a=4.330 b=4.330 c=14.761 alpha=81.57 beta=81.57 gamma=60.00
Positions (direct):
Ba: 0.257 0.257 0.229
Ba: 0.076 0.076 0.771
Ca: 0.667 0.667 0.000
K: 0.500 0.500 0.500

Summary:
- E_tot: -6.661 eV per cell
- Theoretical density: 2.49 g/cm3
- Energy of formation from the pure elements: 0.07 eV/atom
- Offset from the most stable computed form: 0.00 eV/f.u.
- N(E_F): 5.5 states/eV/cell
- M_tot: 0.0 μB per formula unit